# 1
A relaxed TmFe12B6 crystal. Source: Alexandria via LeMat-Bulk, functional PBE.

Cell lengths 6.0186, 6.0186, 6.0186 Å; angles 104.37, 104.37, 104.37 degrees
Closest atoms and distances in Å follow each position.
Fractional positions:
Tm (0.0000, 0.0000, 0.0000)  6 B 2.97, 18 Fe 3.05-3.25
Fe (0.1288, 0.5000, 0.8712)  4 B 2.02-2.05
Fe (0.1288, 0.8712, 0.5000)  4 B 2.02-2.05
Fe (0.1848, 0.4513, 0.4513)  3 B 2.14-2.22
Fe (0.4513, 0.1848, 0.4513)  3 B 2.14-2.22
Fe (0.4513, 0.4513, 0.1848)  3 B 2.14-2.22
Fe (0.5000, 0.1288, 0.8712)  4 B 2.02-2.05
Fe (0.5000, 0.8712, 0.1288)  4 B 2.02-2.05
Fe (0.5487, 0.5487, 0.8152)  3 B 2.14-2.22
Fe (0.5487, 0.8152, 0.5487)  3 B 2.14-2.22
Fe (0.8152, 0.5487, 0.5487)  3 B 2.14-2.22
Fe (0.8712, 0.1288, 0.5000)  4 B 2.02-2.05
Fe (0.8712, 0.5000, 0.1288)  4 B 2.02-2.05
B (0.2335, 0.2335, 0.6967)  7 Fe 2.02-2.22
B (0.2335, 0.6967, 0.2335)  7 Fe 2.02-2.22
B (0.3033, 0.7665, 0.7665)  7 Fe 2.02-2.22
B (0.6967, 0.2335, 0.2335)  7 Fe 2.02-2.22
B (0.7665, 0.3033, 0.7665)  7 Fe 2.02-2.22
B (0.7665, 0.7665, 0.3033)  7 Fe 2.02-2.22

Properties
N(E_F) = 0.83 states/eV/atom
E_tot = -151.50 eV per cell
DFT formation energy = -0.285 eV per atom

# 2
A relaxed TmFe8B4 crystal. Source: Alexandria via LeMat-Bulk, functional PBE.

Cell lengths 5.8589, 5.8589, 5.8589 Å; angles 98.08, 98.08, 135.95 degrees
Closest atoms and distances in Å follow each position.
Fractional positions:
Tm (0.0000, 0.0000, 0.0000)  12 Fe 2.69-2.80, 8 B 2.93
Fe (0.0000, 0.3500, 0.3500)  5 Fe 2.30-2.40, 4 B 2.34
Fe (0.0000, 0.6500, 0.6500)  5 Fe 2.30-2.40, 4 B 2.34
Fe (0.2747, 0.5000, 0.7747)  4 B 2.22, 6 Fe 2.40-2.45
Fe (0.3500, 0.0000, 0.3500)  5 Fe 2.30-2.40, 4 B 2.34
Fe (0.5000, 0.2747, 0.7747)  4 B 2.22, 6 Fe 2.40-2.45
Fe (0.5000, 0.7253, 0.2253)  4 B 2.22, 6 Fe 2.40-2.45
Fe (0.6500, 0.0000, 0.6500)  5 Fe 2.30-2.40, 4 B 2.34
Fe (0.7253, 0.5000, 0.2253)  4 B 2.22, 6 Fe 2.40-2.45
B (0.0000, 0.0000, 0.5000)  2 B 2.20, 8 Fe 2.22-2.34
B (0.0000, 0.5000, 0.0000)  2 B 2.20, 8 Fe 2.22-2.34
B (0.5000, 0.0000, 0.0000)  2 B 2.20, 8 Fe 2.22-2.34
B (0.5000, 0.5000, 0.5000)  2 B 2.20, 8 Fe 2.22-2.34

Properties
N(E_F) = 0.92 states/eV/atom
E_tot = -100.30 eV per cell
DFT formation energy = -0.109 eV per atom

# 3
A relaxed TmFe5B2 crystal. Source: Alexandria via LeMat-Bulk, functional PBE.

Cell lengths 5.6519, 5.6519, 5.6519 Å; angles 146.64, 109.12, 80.63 degrees
Closest atoms and distances in Å follow each position.
Fractional positions:
Tm (0.0000, 0.0000, 0.0000)  4 B 2.71, 8 Fe 2.96
Fe (0.1534, 0.3399, 0.8135)  3 B 2.17-2.20, 2 Fe 2.39
Fe (0.4736, 0.6601, 0.8135)  3 B 2.17-2.20, 2 Fe 2.39
Fe (0.5000, 0.0000, 0.5000)  2 B 2.14
Fe (0.5264, 0.3399, 0.1865)  3 B 2.17-2.20, 2 Fe 2.39
Fe (0.8466, 0.6601, 0.1865)  3 B 2.17-2.20, 2 Fe 2.39
B (0.2512, 0.7512, 0.5000)  7 Fe 2.14-2.20
B (0.7488, 0.2488, 0.5000)  7 Fe 2.14-2.20

Properties
N(E_F) = 0.55 states/eV/atom
E_tot = -62.53 eV per cell
DFT formation energy = -0.299 eV per atom

# 4
A relaxed TmFe12B4 crystal. Source: Alexandria via LeMat-Bulk, functional PBE.

Cell lengths 6.3085, 6.3085, 6.3085 Å; angles 109.47, 109.47, 109.47 degrees
Closest atoms and distances in Å follow each position.
Fractional positions:
Tm (0.0000, 0.0000, 0.0000)  12 Fe 2.77
Fe (0.1644, 0.3386, 0.8258)  2 B 2.01
Fe (0.1742, 0.5129, 0.3386)  2 B 2.01
Fe (0.1742, 0.8356, 0.6614)  2 B 2.01
Fe (0.3386, 0.1742, 0.5129)  2 B 2.01
Fe (0.3386, 0.8258, 0.1644)  2 B 2.01
Fe (0.4871, 0.6614, 0.8258)  2 B 2.01
Fe (0.5129, 0.3386, 0.1742)  2 B 2.01
Fe (0.6614, 0.1742, 0.8356)  2 B 2.01
Fe (0.6614, 0.8258, 0.4871)  2 B 2.01
Fe (0.8258, 0.1644, 0.3386)  2 B 2.01
Fe (0.8258, 0.4871, 0.6614)  2 B 2.01
Fe (0.8356, 0.6614, 0.1742)  2 B 2.01
B (0.0000, 0.0000, 0.5000)  6 Fe 2.01
B (0.0000, 0.5000, 0.0000)  6 Fe 2.01
B (0.5000, 0.0000, 0.0000)  6 Fe 2.01
B (0.5000, 0.5000, 0.5000)  6 Fe 2.01

Properties
N(E_F) = 0.68 states/eV/atom
E_tot = -132.04 eV per cell
DFT formation energy = 0.041 eV per atom

# 5
A relaxed Tm3Fe2B9 crystal. Source: Alexandria via LeMat-Bulk, functional PBE.

Cell lengths 7.6778, 7.6778, 7.6778 Å; angles 156.37, 124.37, 61.27 degrees
Closest atoms and distances in Å follow each position.
Fractional positions:
Tm (0.0000, 0.0000, 0.0000)  12 B 2.52-2.63
Tm (0.2679, 0.2679, 0.0000)  12 B 2.70-2.75
Tm (0.7321, 0.7321, 0.0000)  12 B 2.70-2.75
Fe (0.3280, 0.5000, 0.8280)  4 B 2.00-2.04
Fe (0.6720, 0.5000, 0.1720)  4 B 2.00-2.04
B (0.0438, 0.3707, 0.6730)  2 B 1.73
B (0.1512, 0.8788, 0.2724)  2 B 1.73
B (0.3023, 0.6293, 0.6730)  2 B 1.73
B (0.3935, 0.1212, 0.2724)  2 B 1.73
B (0.5000, 0.0000, 0.5000)  4 Fe 2.00
B (0.6065, 0.8788, 0.7276)  2 B 1.73
B (0.6977, 0.3707, 0.3270)  2 B 1.73
B (0.8488, 0.1212, 0.7276)  2 B 1.73
B (0.9562, 0.6293, 0.3270)  2 B 1.73

Properties
N(E_F) = 0.50 states/eV/atom
E_tot = -94.58 eV per cell
DFT formation energy = -0.296 eV per atom

# 6
A relaxed Tm2Fe3B6 crystal. Source: Alexandria via LeMat-Bulk, functional PBE.

Cell lengths 5.7760, 5.7760, 3.4754 Å; angles 90.00, 90.00, 99.21 degrees
Closest atoms and distances in Å follow each position.
Fractional positions:
Tm (0.2142, 0.7858, 0.0000)  12 B 2.70-2.73, 4 Fe 2.89-2.96
Tm (0.7858, 0.2142, 0.0000)  12 B 2.70-2.73, 4 Fe 2.89-2.96
Fe (0.2925, 0.2925, 0.0000)  6 B 2.18-2.21, 2 Fe 2.33
Fe (0.5000, 0.5000, 0.5000)  4 B 2.20, 4 Fe 2.33
Fe (0.7075, 0.7075, 0.0000)  6 B 2.18-2.21, 2 Fe 2.33
B (0.1141, 0.4197, 0.5000)  2 B 1.73-1.75
B (0.1176, 0.1176, 0.5000)  3 B 1.75-1.76
B (0.4197, 0.1141, 0.5000)  2 B 1.73-1.75
B (0.5803, 0.8859, 0.5000)  2 B 1.73-1.75
B (0.8824, 0.8824, 0.5000)  3 B 1.75-1.76
B (0.8859, 0.5803, 0.5000)  2 B 1.73-1.75

Properties
N(E_F) = 0.59 states/eV/atom
E_tot = -79.96 eV per cell
DFT formation energy = -0.506 eV per atom

# 7
A relaxed Tm2Fe3B4 crystal. Source: Alexandria via LeMat-Bulk, functional PBE.

Cell lengths 6.5536, 5.5131, 4.9947 Å; angles 77.00, 55.05, 47.95 degrees
Closest atoms and distances in Å follow each position.
Fractional positions:
Tm (0.1521, 0.1521, 0.8479)  4 B 2.51-2.57
Tm (0.8479, 0.8479, 0.1521)  4 B 2.51-2.57
Fe (0.0000, 0.0000, 0.5000)  4 B 2.06
Fe (0.5000, 0.5000, 0.0000)  4 B 2.06
Fe (0.5000, 0.5000, 0.5000)  4 B 2.43, 4 Fe 2.50
B (0.1261, 0.5467, 0.4533)  1 B 1.83
B (0.4533, 0.8739, 0.1261)  1 B 1.83
B (0.5467, 0.1261, 0.8739)  1 B 1.83
B (0.8739, 0.4533, 0.5467)  1 B 1.83

Properties
N(E_F) = 0.50 states/eV/atom
E_tot = -61.76 eV per cell
DFT formation energy = -0.080 eV per atom

# 8
A relaxed TmFe4B crystal. Source: Alexandria via LeMat-Bulk, functional PBE.

Cell lengths 5.0131, 5.0131, 7.0205 Å; angles 90.00, 90.00, 120.00 degrees
Closest atoms and distances in Å follow each position.
Fractional positions:
Tm (0.0000, 0.0000, 0.0000)  6 B 2.89, 12 Fe 2.92
Tm (0.0000, 0.0000, 0.5000)  18 Fe 2.89-3.21
Fe (0.0000, 0.5000, 0.2141)  2 B 2.09
Fe (0.0000, 0.5000, 0.7859)  2 B 2.09
Fe (0.3333, 0.6667, 0.5000)  6 Fe 2.47
Fe (0.5000, 0.0000, 0.2141)  2 B 2.09
Fe (0.5000, 0.0000, 0.7859)  2 B 2.09
Fe (0.5000, 0.5000, 0.2141)  2 B 2.09
Fe (0.5000, 0.5000, 0.7859)  2 B 2.09
Fe (0.6667, 0.3333, 0.5000)  6 Fe 2.47
B (0.3333, 0.6667, 0.0000)  6 Fe 2.09
B (0.6667, 0.3333, 0.0000)  6 Fe 2.09

Properties
N(E_F) = 0.74 states/eV/atom
E_tot = -93.09 eV per cell
DFT formation energy = -0.257 eV per atom